Entry 1:
## Ce4PmIn3 (PBE)

Data for a relaxed Ce4PmIn3 crystal.

```
Ce4PmIn3
1.0
11.126 -1.690 0.000
11.126 1.690 0.000
-1.000 0.000 5.744
Ce Pm In
4 1 3
Cartesian
2.488 0.000 2.502 Ce
5.054 0.000 1.416 Ce
16.198 0.000 4.328 Ce
18.764 0.000 3.242 Ce
0.000 0.000 0.000 Pm
8.268 0.000 0.436 In
10.626 0.000 2.872 In
12.984 0.000 5.308 In
```

- Energy of formation from the pure elements: -302 meV per atom
- E_tot: -4.89 eV per atom
- Volume: 27.00 Å³ per atom
- Space-group type: No. 12
- Crystal system: monoclinic

***

Entry 2:
## NiAg2Os (PBE)

Data for a relaxed NiAg2Os crystal.

```
NiAg2Os
1.0
4.528 -1.337 0.000
4.528 1.337 0.000
-0.787 0.000 5.048
Ni Ag Os
1 2 1
Cartesian
0.000 0.000 0.000 Ni
4.187 0.000 2.706 Ag
6.568 0.000 1.498 Ag
1.746 0.000 4.166 Os
```

- Energy of formation from the pure elements: 535 meV per atom
- E_tot: -5.14 eV per atom
- Volume: 15.27 Å³ per atom
- Space-group type: No. 8
- Crystal system: monoclinic
- Excess energy over the best structure of this formula in the dataset: 221.5 meV per atom

***

Entry 3:
## Tb2ErSc3Bi6 (PBE)

Data for a relaxed Tb2ErSc3Bi6 crystal.

```
Tb2ErSc3Bi6
1.0
3.789 -6.566 0.000
3.789 6.566 0.000
-2.526 0.000 7.132
Tb Er Sc Bi
2 1 3 6
Cartesian
3.789 4.384 0.000 Tb
3.789 -4.384 0.000 Tb
3.789 0.000 0.000 Er
-1.263 0.000 3.566 Sc
2.526 2.205 3.566 Sc
2.526 -2.205 3.566 Sc
0.009 2.176 5.247 Bi
1.281 0.000 1.894 Bi
0.009 -2.176 5.247 Bi
5.044 2.176 1.884 Bi
3.772 0.000 5.238 Bi
5.044 -2.176 1.884 Bi
```

- Energy of formation from the pure elements: -755 meV per atom
- E_tot: -5.43 eV per atom
- Volume: 29.57 Å³ per atom
- Space-group type: No. 12
- Crystal system: monoclinic

***

Entry 4:
## PrScPd4 (PBE)

Data for a relaxed PrScPd4 crystal.

```
PrScPd4
1.0
0.000 3.845 3.845
3.845 0.000 3.845
3.845 3.845 0.000
Pr Sc Pd
1 1 4
Cartesian
0.000 0.000 0.000 Pr
1.922 1.922 1.922 Sc
4.801 2.888 2.888 Pd
2.888 4.801 2.888 Pd
2.888 2.888 4.801 Pd
4.801 4.801 4.801 Pd
```

- Energy of formation from the pure elements: -697 meV per atom
- E_tot: -6.01 eV per atom
- Volume: 18.95 Å³ per atom
- Space-group type: No. 216
- Crystal system: cubic
- Excess energy over the best structure of this formula in the dataset: 98.8 meV per atom